*P*
This record from Alexandria via LeMat-Bulk describes HfCoP2S after structural relaxation. The functional is PBE.

```
data_HfCoP2S
_chemical_formula_sum 'Hf1 Co1 P2 S1'
_symmetry_space_group_name_H-M 'P 4/m m m'
_symmetry_Int_Tables_number 123
_symmetry_space_group_name_Hall '-P 4 2'
_cell_length_a 4.244
_cell_length_b 4.244
_cell_length_c 4.629
_cell_angle_alpha 90.00
_cell_angle_beta 90.00
_cell_angle_gamma 90.00
loop_
_atom_site_label
_atom_site_type_symbol
_atom_site_fract_x
_atom_site_fract_y
_atom_site_fract_z
_atom_site_occupancy
Hf1 Hf 0.000 0.000 0.000 1
Co1 Co 0.500 0.500 0.500 1
P1 P 0.000 0.500 0.500 1
S1 S 0.500 0.500 0.000 1
```

## Properties
* crystal system: tetragonal

*Q*
This record from Alexandria via LeMat-Bulk describes HfCoP2S after structural relaxation. The functional is PBE.

```
data_HfCoP2S
_chemical_formula_sum 'Hf1 Co1 P2 S1'
_symmetry_space_group_name_H-M 'P 4/m m m'
_symmetry_Int_Tables_number 123
_symmetry_space_group_name_Hall '-P 4 2'
_cell_length_a 4.974
_cell_length_b 4.974
_cell_length_c 4.838
_cell_angle_alpha 90.00
_cell_angle_beta 90.00
_cell_angle_gamma 90.00
loop_
_atom_site_label
_atom_site_type_symbol
_atom_site_fract_x
_atom_site_fract_y
_atom_site_fract_z
_atom_site_occupancy
Hf1 Hf 0.000 0.000 0.000 1
Co1 Co 0.500 0.500 0.500 1
P1 P 0.000 0.500 0.000 1
S1 S 0.000 0.000 0.500 1
```

## Properties
* crystal system: tetragonal

The computed energies, referenced to the most stable structure and given in meV per atom, are *P* 0; *Q* 523.

*P*
This record from Alexandria via LeMat-Bulk describes Hf2PaCo after structural relaxation. The functional is PBE.

```
data_Hf2PaCo
_chemical_formula_sum 'Hf6 Pa3 Co3'
_symmetry_space_group_name_H-M 'R -3 m'
_symmetry_Int_Tables_number 166
_symmetry_space_group_name_Hall '-R 3 2"'
_cell_length_a 3.0953
_cell_length_b 3.0953
_cell_length_c 29.4769
_cell_angle_alpha 90.00
_cell_angle_beta 90.00
_cell_angle_gamma 120.00
loop_
_atom_site_label
_atom_site_type_symbol
_atom_site_fract_x
_atom_site_fract_y
_atom_site_fract_z
_atom_site_occupancy
Hf1 Hf 0.0000 0.0000 0.1021 1
Pa1 Pa 0.0000 0.0000 0.0000 1
Co1 Co 0.0000 0.0000 0.5000 1
```

## Properties
* crystal system: trigonal

*Q*
This record from Alexandria via LeMat-Bulk describes Hf2PaCo after structural relaxation. The functional is PBE.

```
data_Hf2PaCo
_chemical_formula_sum 'Hf8 Pa4 Co4'
_symmetry_space_group_name_H-M 'P n m a'
_symmetry_Int_Tables_number 62
_symmetry_space_group_name_Hall '-P 2ac 2n'
_cell_length_a 6.338
_cell_length_b 9.055
_cell_length_c 5.729
_cell_angle_alpha 90.00
_cell_angle_beta 90.00
_cell_angle_gamma 90.00
loop_
_atom_site_label
_atom_site_type_symbol
_atom_site_fract_x
_atom_site_fract_y
_atom_site_fract_z
_atom_site_occupancy
Hf1 Hf 0.184 0.062 0.153 1
Pa1 Pa 0.040 0.250 0.654 1
Co1 Co 0.128 0.750 0.943 1
```

## Properties
* crystal system: orthorhombic

*R*
This record from Alexandria via LeMat-Bulk describes Hf2PaCo after structural relaxation. The functional is PBE.

```
data_Hf2PaCo
_chemical_formula_sum 'Hf6 Pa3 Co3'
_symmetry_space_group_name_H-M 'R 3 m'
_symmetry_Int_Tables_number 160
_symmetry_space_group_name_Hall 'R 3 -2"'
_cell_length_a 3.1871
_cell_length_b 3.1871
_cell_length_c 27.4195
_cell_angle_alpha 90.00
_cell_angle_beta 90.00
_cell_angle_gamma 120.00
loop_
_atom_site_label
_atom_site_type_symbol
_atom_site_fract_x
_atom_site_fract_y
_atom_site_fract_z
_atom_site_occupancy
Hf1 Hf 0.0000 0.0000 0.0000 1
Hf2 Hf 0.0000 0.0000 0.1987 1
Pa1 Pa 0.0000 0.0000 0.4329 1
Co1 Co 0.0000 0.0000 0.5991 1
```

## Properties
* crystal system: trigonal

The computed energies, referenced to the most stable structure and given in meV per atom, are *P* 461; *Q* 0; *R* 237.